Record 1
VASP calculation (GGA-PBE) on a relaxed structure of Y3HfSb.

Properties
Polymorph energy (0 for the lowest one) (eV/atom): 0.000

a b c (Å): 5.6322 5.6322 5.6322
angles (deg): 90.00 90.00 90.00
Fractional positions:
Y 0.0000 0.0000 0.5000
Y 0.0000 0.5000 0.0000
Y 0.5000 0.0000 0.0000
Hf 0.5000 0.5000 0.5000
Sb 0.0000 0.0000 0.0000

Record 2
VASP calculation (GGA-PBE) on a relaxed structure of Y2HfZrSb.

a b c (Å): 5.5237 5.5237 5.0927
angles (deg): 90.00 90.00 90.00
Fractional positions:
Y 0.0000 0.5000 0.0000
Y 0.5000 0.0000 0.0000
Hf 0.0000 0.0000 0.5000
Zr 0.0000 0.0000 0.0000
Sb 0.5000 0.5000 0.5000

Record 3
VASP calculation (GGA-PBE) on a relaxed structure of Hf5ZnSb4.

a b c (Å): 8.9190 9.6427 5.3816
angles (deg): 90.00 90.00 90.00
Fractional positions:
Hf 0.0756 0.0370 0.2450
Hf 0.0756 0.4630 0.2450
Hf 0.2500 0.7500 0.9840
Hf 0.4244 0.0370 0.2450
Hf 0.4244 0.4630 0.2450
Hf 0.5756 0.5370 0.7550
Hf 0.5756 0.9630 0.7550
Hf 0.7500 0.2500 0.0160
Hf 0.9244 0.5370 0.7550
Hf 0.9244 0.9630 0.7550
Zn 0.2500 0.2500 0.0506
Zn 0.7500 0.7500 0.9494
Sb 0.0776 0.7500 0.4551
Sb 0.2500 0.0309 0.7474
Sb 0.2500 0.4691 0.7474
Sb 0.4224 0.7500 0.4551
Sb 0.5776 0.2500 0.5449
Sb 0.7500 0.5309 0.2526
Sb 0.7500 0.9691 0.2526
Sb 0.9224 0.2500 0.5449

Record 4
VASP calculation (GGA-PBE) on a relaxed structure of Hf2ZnSb2.

Properties
Polymorph energy (0 for the lowest one) (eV/atom): 0.000

a b c (Å): 7.6550 7.6550 3.8631
angles (deg): 90.00 90.00 90.00
Fractional positions:
Hf 0.1448 0.3552 0.0000
Hf 0.3552 0.8552 0.0000
Hf 0.6448 0.1448 0.0000
Hf 0.8552 0.6448 0.0000
Zn 0.0000 0.0000 0.0000
Zn 0.5000 0.5000 0.0000
Sb 0.1547 0.6547 0.5000
Sb 0.3453 0.1547 0.5000
Sb 0.6547 0.8453 0.5000
Sb 0.8453 0.3453 0.5000

Record 5
VASP calculation (GGA-PBE) on a relaxed structure of Hf2ZnSb.

a b c (Å): 6.1482 6.1482 6.1482
angles (deg): 103.81 103.81 121.51
Fractional positions:
Hf 0.1128 0.6250 0.9878
Hf 0.3750 0.3628 0.4878
Hf 0.6372 0.1250 0.0122
Hf 0.8750 0.8872 0.5122
Zn 0.0000 0.0000 0.0000
Zn 0.7500 0.2500 0.5000
Sb 0.2500 0.7500 0.5000
Sb 0.5000 0.5000 0.0000

Record 6
VASP calculation (GGA-PBE) on a relaxed structure of Hf2ZnSb.

a b c (Å): 7.2630 7.2630 7.2630
angles (deg): 30.61 30.61 30.61
Fractional positions:
Hf 0.2438 0.2438 0.2438
Hf 0.7562 0.7562 0.7562
Zn 0.5000 0.5000 0.5000
Sb 0.0000 0.0000 0.0000

Record 7
VASP calculation (GGA-PBE) on a relaxed structure of Hf2ZnSb.

a b c (Å): 4.3638 4.3638 4.2153
angles (deg): 90.00 90.00 90.00
Fractional positions:
Hf 0.0000 0.5000 0.0000
Hf 0.5000 0.0000 0.0000
Zn 0.0000 0.0000 0.5000
Sb 0.5000 0.5000 0.5000

Record 8
VASP calculation (GGA-PBE) on a relaxed structure of Hf2ZnSb.

a b c (Å): 7.7078 7.7078 7.7078
angles (deg): 28.17 28.17 28.17
Fractional positions:
Hf 0.0000 0.0000 0.0000
Hf 0.1605 0.1605 0.1605
Zn 0.4123 0.4123 0.4123
Sb 0.5813 0.5813 0.5813

The calculation returns the following energy relative to the elements, uncorrected values, one per record and in order: 41, 66, -17, -27, -4, -13, -23, 2 kJ per mole of atoms.